Arrangement P

Material: CaRe2Rh
Method: DFT, GGA-PBE
State: relaxed

Unit cell a=5.0278 b=2.8058 c=4.8128 alpha=84.55 beta=90.00 gamma=90.00
Sites, in units of the cell vectors:
Ca: 0.5000 0.7500 0.7500
Re: 0.0000 0.4314 0.4949
Re: 0.0000 0.0686 0.0051
Rh: 0.5000 0.2500 0.2500



Arrangement Q

Material: CaRe2Rh
Method: DFT, GGA-PBE
State: relaxed

Unit cell a=5.5177 b=5.5177 c=2.7199 alpha=81.35 beta=81.35 gamma=122.71
Sites, in units of the cell vectors:
Re: 0.5000 0.5000 0.0000
Re: 0.0000 0.0000 0.0000
Ca: 0.0000 0.5000 0.5000
Rh: 0.5000 0.0000 0.5000



Relative energies, in meV per atom, with the most stable structure set to zero: arrangement P 0; arrangement Q 24.



Arrangement P

Material: PmAsRh
Method: DFT, GGA-PBE
State: relaxed

Unit cell a=4.2529 b=4.2523 c=12.1050 alpha=90.00 beta=90.00 gamma=120.00
Sites, in units of the cell vectors:
Rh: 0.8279 0.6558 0.1713
Rh: 0.8279 0.6558 0.8287
Rh: 0.1615 0.3230 0.5000
As: 0.8282 0.6563 0.5000
As: 0.1613 0.3226 0.1632
As: 0.1613 0.3226 0.8368
Pm: 0.4948 0.9895 0.6664
Pm: 0.4948 0.9895 0.3336
Pm: 0.4946 0.9893 0.0000



Arrangement Q

Material: PmAsRh
Method: DFT, GGA-PBE
State: relaxed

Unit cell a=3.3482 b=3.3482 c=5.8553 alpha=106.61 beta=106.61 gamma=90.00
Sites, in units of the cell vectors:
Pm: 0.6196 0.6196 0.2392
As: 0.9153 0.9153 0.8305
Rh: 0.3151 0.3151 0.6303



Relative energies, in meV per atom, with the most stable structure set to zero: arrangement P 0; arrangement Q 472.



Arrangement P

Material: Sr3Te
Method: DFT, GGA-PBE
State: relaxed

Unit cell a=7.0473 b=7.0473 c=7.0473 alpha=116.16 beta=116.16 gamma=116.16
Sites, in units of the cell vectors:
Sr: 0.5000 0.0000 0.5000
Sr: 0.5000 0.5000 0.0000
Sr: 0.0000 0.0000 0.0000
Te: 0.0000 0.5000 0.5000



Arrangement Q

Material: Sr3Te
Method: DFT, GGA-PBE
State: relaxed

Unit cell a=7.6558 b=7.6558 c=6.5278 alpha=90.00 beta=90.00 gamma=120.00
Sites, in units of the cell vectors:
Sr: 0.6630 0.8315 0.7500
Sr: 0.1685 0.3370 0.7500
Sr: 0.3370 0.1685 0.2500
Sr: 0.8315 0.6630 0.2500
Sr: 0.1685 0.8315 0.7500
Sr: 0.8315 0.1685 0.2500
Te: 0.3333 0.6667 0.2500
Te: 0.6667 0.3333 0.7500



Relative energies, in meV per atom, with the most stable structure set to zero: arrangement P 14; arrangement Q 0.